PBE Ac8GeRu3Cl4, relaxed; calculated total energy = -5.54 eV per atom; raw formation energy = -0.996 eV per atom
1.0
-7.540 2.235 -3.912
1.769 -6.073 -6.879
-0.056 -3.004 8.252
Ac Ge Ru Cl
8 1 3 4
direct
0.242 0.700 0.959
0.242 0.700 0.484
0.261 0.285 0.523
0.717 0.700 0.959
0.283 0.300 0.041
0.739 0.715 0.477
0.758 0.300 0.516
0.758 0.300 0.041
0.000 0.500 0.000
0.500 0.500 0.000
0.500 0.500 0.500
0.000 0.500 0.500
0.500 0.000 0.000
0.500 0.000 0.500
0.000 0.000 0.000
0.000 0.000 0.500